Record 1
! BeCuNiSn | OQMD via LeMat-Bulk | PBE-GGA | optimized geometry; values from VASP
! Calculated volume: 210.1 Å³ per cell
! Calculated total energy: -67.60 eV for the cell shown
! Offset from the most stable computed form: 0.0 meV per atom
! Space group: F-43m (216)
! Total magnetization: 0.0 μB/cell
&SYSTEM
  ibrav = 0, nat = 16, ntyp = 4
/
ATOMIC_SPECIES
Be 9.01 Be.upf
Cu 63.55 Cu.upf
Ni 58.69 Ni.upf
Sn 118.71 Sn.upf
CELL_PARAMETERS angstrom
5.945 0.000 0.000
0.000 5.945 0.000
0.000 0.000 5.945
ATOMIC_POSITIONS crystal
Be 0.000 0.000 0.000
Be 0.000 0.500 0.500
Be 0.500 0.000 0.500
Be 0.500 0.500 0.000
Cu 0.250 0.250 0.250
Cu 0.250 0.750 0.750
Cu 0.750 0.250 0.750
Cu 0.750 0.750 0.250
Ni 0.250 0.250 0.750
Ni 0.250 0.750 0.250
Ni 0.750 0.250 0.250
Ni 0.750 0.750 0.750
Sn 0.000 0.000 0.500
Sn 0.000 0.500 0.000
Sn 0.500 0.000 0.000
Sn 0.500 0.500 0.500

Record 2
! TbNd2Zn2Si4Au2 | OQMD via LeMat-Bulk | PBE-GGA | optimized geometry; values from VASP
! Calculated volume: 220.2 Å³ per cell
! Calculated total energy: -51.75 eV for the cell shown
! Offset from the most stable computed form: 47.3 meV per atom
! Space group: Immm (71)
! Total magnetization: 0.0 μB/cell
&SYSTEM
  ibrav = 0, nat = 11, ntyp = 5
/
ATOMIC_SPECIES
Tb 158.93 Tb.upf
Nd 144.24 Nd.upf
Zn 65.41 Zn.upf
Si 28.09 Si.upf
Au 196.97 Au.upf
CELL_PARAMETERS angstrom
-2.109 2.110 12.371
2.109 -2.110 12.371
2.109 2.110 -12.371
ATOMIC_POSITIONS crystal
Tb 0.000 0.000 0.000
Nd 0.144 0.644 0.500
Nd 0.856 0.356 0.500
Zn 0.407 0.907 0.500
Zn 0.593 0.093 0.500
Si 0.310 0.810 0.500
Si 0.453 0.453 0.000
Si 0.547 0.547 0.000
Si 0.690 0.190 0.500
Au 0.250 0.250 0.000
Au 0.750 0.750 0.000

Record 3
! FeNiIrPb | OQMD via LeMat-Bulk | PBE-GGA | optimized geometry; values from VASP
! Calculated volume: 239.9 Å³ per cell
! Calculated total energy: -100.10 eV for the cell shown
! Offset from the most stable computed form: 0.0 meV per atom
! Space group: F-43m (216)
! Total magnetization: 11.2 μB/cell
&SYSTEM
  ibrav = 0, nat = 16, ntyp = 4
/
ATOMIC_SPECIES
Fe 55.84 Fe.upf
Ni 58.69 Ni.upf
Ir 192.22 Ir.upf
Pb 207.20 Pb.upf
CELL_PARAMETERS angstrom
6.213 0.000 0.000
0.000 6.213 0.000
0.000 0.000 6.213
ATOMIC_POSITIONS crystal
Fe 0.000 0.000 0.000
Fe 0.000 0.500 0.500
Fe 0.500 0.000 0.500
Fe 0.500 0.500 0.000
Ni 0.000 0.000 0.500
Ni 0.000 0.500 0.000
Ni 0.500 0.000 0.000
Ni 0.500 0.500 0.500
Ir 0.250 0.250 0.250
Ir 0.250 0.750 0.750
Ir 0.750 0.250 0.750
Ir 0.750 0.750 0.250
Pb 0.250 0.250 0.750
Pb 0.250 0.750 0.250
Pb 0.750 0.250 0.250
Pb 0.750 0.750 0.750

Record 4
! SmBSb | OQMD via LeMat-Bulk | PBE-GGA | optimized geometry; values from VASP
! Calculated volume: 321.1 Å³ per cell
! Calculated total energy: -53.55 eV for the cell shown
! Offset from the most stable computed form: 502.9 meV per atom
! Space group: F-43m (216)
! Total magnetization: 0.0 μB/cell
&SYSTEM
  ibrav = 0, nat = 12, ntyp = 3
/
ATOMIC_SPECIES
Sm 150.36 Sm.upf
B 10.81 B.upf
Sb 121.76 Sb.upf
CELL_PARAMETERS angstrom
6.848 0.000 0.000
0.000 6.848 0.000
0.000 0.000 6.848
ATOMIC_POSITIONS crystal
Sm 0.000 0.000 0.000
Sm 0.000 0.500 0.500
Sm 0.500 0.000 0.500
Sm 0.500 0.500 0.000
B 0.250 0.250 0.750
B 0.250 0.750 0.250
B 0.750 0.250 0.250
B 0.750 0.750 0.750
Sb 0.250 0.250 0.250
Sb 0.250 0.750 0.750
Sb 0.750 0.250 0.750
Sb 0.750 0.750 0.250